This record from Alexandria via LeMat-Bulk describes crystalline KTl2CdRh at its relaxed geometry. The functional is PBE-GGA.

Computed properties:
- ΔH_f (0 K) (meV/atom) = -116
- spin magnetization (Bohr magnetons per cell) = 0.00
- space group = No. 123

a = 5.2988 Å, b = 5.2988 Å, c = 5.3672 Å
α = 90.00°, β = 90.00°, γ = 90.00°
Element x y z (fractional)
Cd 0.0000 0.0000 0.5000
Tl 0.5000 0.0000 0.0000
Tl 0.0000 0.5000 0.0000
K 0.5000 0.5000 0.5000
Rh 0.0000 0.0000 0.0000


This record from Alexandria via LeMat-Bulk describes crystalline KZn2CdRh at its relaxed geometry. The functional is PBE-GGA.

Computed properties:
- ΔH_f (0 K) (meV/atom) = -124
- spin magnetization (Bohr magnetons per cell) = 0.00
- space group = No. 123

a = 4.9159 Å, b = 4.9159 Å, c = 5.2549 Å
α = 90.00°, β = 90.00°, γ = 90.00°
Element x y z (fractional)
Cd 0.0000 0.0000 0.5000
Rh 0.0000 0.0000 0.0000
K 0.5000 0.5000 0.5000
Zn 0.5000 0.0000 0.0000
Zn 0.0000 0.5000 0.0000


This record from Alexandria via LeMat-Bulk describes crystalline KCdRu2 at its relaxed geometry. The functional is PBE-GGA.

Computed properties:
- ΔH_f (0 K) (meV/atom) = 873
- spin magnetization (Bohr magnetons per cell) = 2.11
- space group = No. 10

a = 4.9481 Å, b = 2.8034 Å, c = 6.6237 Å
α = 83.03°, β = 90.00°, γ = 90.00°
Site moments in Bohr magnetons follow the coordinates.
Element x y z (fractional)
Cd 0.5000 0.2500 0.2500  -0.01
K 0.5000 0.7500 0.7500  0.01
Ru 0.0000 0.4736 0.4092  0.90
Ru 0.0000 0.0264 0.0908  0.90


This record from Alexandria via LeMat-Bulk describes crystalline K2CdRu at its relaxed geometry. The functional is PBE-GGA.

Computed properties:
- ΔH_f (0 K) (meV/atom) = 843
- spin magnetization (Bohr magnetons per cell) = 1.52
- space group = No. 216

a = 5.3655 Å, b = 5.3655 Å, c = 5.3655 Å
α = 120.00°, β = 120.00°, γ = 90.00°
Site moments in Bohr magnetons follow the coordinates.
Element x y z (fractional)
Cd 0.7500 0.2500 0.5000  -0.03
K 0.0000 0.0000 0.0000  -0.01
K 0.2500 0.7500 0.5000  0.01
Ru 0.5000 0.5000 0.0000  1.49


This record from Alexandria via LeMat-Bulk describes crystalline KCd2Ru at its relaxed geometry. The functional is PBE-GGA.

Computed properties:
- offset from the most stable computed form (eV/atom) = 0.283
- ΔH_f (0 K) (meV/atom) = 640
- spin magnetization (Bohr magnetons per cell) = 0.24
- space group = No. 225

a = 5.0163 Å, b = 5.0163 Å, c = 5.0163 Å
α = 60.00°, β = 60.00°, γ = 60.00°
Site moments in Bohr magnetons follow the coordinates.
Element x y z (fractional)
Ru 0.5000 0.5000 0.5000  0.24
K 0.0000 0.0000 0.0000  0.00
Cd 0.2500 0.2500 0.2500  0.00
Cd 0.7500 0.7500 0.7500  0.00


This record from Alexandria via LeMat-Bulk describes crystalline K2CdRu at its relaxed geometry. The functional is PBE-GGA.

Computed properties:
- ΔH_f (0 K) (meV/atom) = 571
- spin magnetization (Bohr magnetons per cell) = 0.84
- space group = No. 99

a = 3.7169 Å, b = 3.7169 Å, c = 9.9872 Å
α = 90.00°, β = 90.00°, γ = 90.00°
Site moments in Bohr magnetons follow the coordinates.
Element x y z (fractional)
K 0.5000 0.5000 0.3355  0.00
K 0.0000 0.0000 0.9153  0.00
Cd 0.5000 0.5000 0.6617  -0.01
Ru 0.0000 0.0000 0.5876  0.86


This record from Alexandria via LeMat-Bulk describes crystalline KCd2Ru at its relaxed geometry. The functional is PBE-GGA.

Computed properties:
- offset from the most stable computed form (eV/atom) = 0.199
- ΔH_f (0 K) (meV/atom) = 556
- spin magnetization (Bohr magnetons per cell) = 1.04
- space group = No. 65

a = 5.2762 Å, b = 5.2762 Å, c = 3.0977 Å
α = 90.00°, β = 90.00°, γ = 89.45°
Site moments in Bohr magnetons follow the coordinates.
Element x y z (fractional)
K 0.5000 0.0000 0.5000  -0.01
Ru 0.0000 0.5000 0.5000  1.12
Cd 0.0000 0.0000 0.0000  -0.02
Cd 0.5000 0.5000 0.0000  -0.02


This record from Alexandria via LeMat-Bulk describes crystalline KCdRu2 at its relaxed geometry. The functional is PBE-GGA.

Computed properties:
- ΔH_f (0 K) (meV/atom) = 1042
- spin magnetization (Bohr magnetons per cell) = 0.00
- space group = No. 122

a = 4.3240 Å, b = 4.3240 Å, c = 10.6101 Å
α = 78.24°, β = 78.24°, γ = 90.00°
Element x y z (fractional)
Ru 0.8750 0.0029 0.7500
Ru 0.9971 0.6250 0.2500
Ru 0.3750 0.2471 0.7500
Ru 0.7529 0.1250 0.2500
Cd 0.0000 0.0000 0.0000
Cd 0.7500 0.2500 0.5000
K 0.5000 0.5000 0.0000
K 0.2500 0.7500 0.5000


This record from Alexandria via LeMat-Bulk describes crystalline K2CdRu at its relaxed geometry. The functional is PBE-GGA.

Computed properties:
- ΔH_f (0 K) (meV/atom) = 871
- spin magnetization (Bohr magnetons per cell) = 0.00
- space group = No. 12

a = 6.8190 Å, b = 6.3756 Å, c = 2.9796 Å
α = 89.93°, β = 64.23°, γ = 115.67°
Element x y z (fractional)
Ru 0.0000 0.5000 0.5000
K 0.0000 0.0000 0.0000
K 0.5000 0.0000 0.5000
Cd 0.5000 0.5000 0.0000


This record from Alexandria via LeMat-Bulk describes crystalline K2CdRu at its relaxed geometry. The functional is PBE-GGA.

Computed properties:
- ΔH_f (0 K) (meV/atom) = 867
- spin magnetization (Bohr magnetons per cell) = 0.00
- space group = No. 10

a = 5.6061 Å, b = 2.9726 Å, c = 6.5603 Å
α = 68.79°, β = 90.00°, γ = 90.00°
Element x y z (fractional)
K 0.0000 0.4990 0.4887
K 0.0000 0.0010 0.0113
Cd 0.5000 0.7500 0.7500
Ru 0.5000 0.2500 0.2500


This record from Alexandria via LeMat-Bulk describes crystalline KCd2Ru at its relaxed geometry. The functional is PBE-GGA.

Computed properties:
- offset from the most stable computed form (eV/atom) = 0.415
- ΔH_f (0 K) (meV/atom) = 772
- spin magnetization (Bohr magnetons per cell) = 0.00
- space group = No. 216

a = 4.9944 Å, b = 4.9944 Å, c = 4.9944 Å
α = 60.00°, β = 60.00°, γ = 60.00°
Element x y z (fractional)
Cd 0.0000 0.0000 0.0000
Cd 0.2500 0.2500 0.2500
K 0.5000 0.5000 0.5000
Ru 0.7500 0.7500 0.7500


This record from Alexandria via LeMat-Bulk describes crystalline KCd2Ru at its relaxed geometry. The functional is PBE-GGA.

Computed properties:
- offset from the most stable computed form (eV/atom) = 0.338
- ΔH_f (0 K) (meV/atom) = 694
- spin magnetization (Bohr magnetons per cell) = 1.90
- space group = No. 122

a = 5.6109 Å, b = 5.6109 Å, c = 9.8556 Å
α = 73.46°, β = 73.46°, γ = 90.00°
Site moments in Bohr magnetons follow the coordinates.
Element x y z (fractional)
Cd 0.3750 0.1730 0.7500  -0.01
Cd 0.9230 0.6250 0.2500  -0.02
Cd 0.8750 0.0770 0.7500  -0.01
Cd 0.8270 0.1250 0.2500  -0.02
K 0.5000 0.5000 0.0000  -0.01
K 0.2500 0.7500 0.5000  -0.01
Ru 0.7500 0.2500 0.5000  0.98
Ru 0.0000 0.0000 0.0000  0.98


This record from Alexandria via LeMat-Bulk describes crystalline KCd2Ru at its relaxed geometry. The functional is PBE-GGA.

Computed properties:
- offset from the most stable computed form (eV/atom) = 0.165
- ΔH_f (0 K) (meV/atom) = 522
- spin magnetization (Bohr magnetons per cell) = 0.58
- space group = No. 99

a = 3.6662 Å, b = 3.6662 Å, c = 8.0435 Å
α = 90.00°, β = 90.00°, γ = 90.00°
Site moments in Bohr magnetons follow the coordinates.
Element x y z (fractional)
K 0.0000 0.0000 0.5248  0.00
Ru 0.5000 0.5000 0.8460  0.58
Cd 0.5000 0.5000 0.1858  0.00
Cd 0.0000 0.0000 0.9434  -0.01


This record from Alexandria via LeMat-Bulk describes crystalline KCdRu4 at its relaxed geometry. The functional is PBE-GGA.

Computed properties:
- ΔH_f (0 K) (meV/atom) = 840
- spin magnetization (Bohr magnetons per cell) = 3.47
- space group = No. 216

a = 5.3424 Å, b = 5.3424 Å, c = 5.3424 Å
α = 60.00°, β = 60.00°, γ = 60.00°
Site moments in Bohr magnetons follow the coordinates.
Element x y z (fractional)
K 0.0000 0.0000 0.0000  0.00
Ru 0.8736 0.3755 0.3755  0.84
Ru 0.3755 0.3755 0.3755  0.84
Ru 0.3755 0.8736 0.3755  0.84
Ru 0.3755 0.3755 0.8736  0.84
Cd 0.7500 0.7500 0.7500  -0.02


This record from Alexandria via LeMat-Bulk describes crystalline KCd2Ru at its relaxed geometry. The functional is PBE-GGA.

Computed properties:
- offset from the most stable computed form (eV/atom) = 0.107
- ΔH_f (0 K) (meV/atom) = 463
- spin magnetization (Bohr magnetons per cell) = 0.00
- space group = No. 12

a = 4.8964 Å, b = 4.8964 Å, c = 7.2563 Å
α = 85.52°, β = 85.52°, γ = 34.08°
Element x y z (fractional)
K 0.7500 0.7500 0.7500
Ru 0.2500 0.2500 0.2500
Cd 0.9854 0.9854 0.0707
Cd 0.5146 0.5146 0.4293


This record from Alexandria via LeMat-Bulk describes crystalline KCdRu2 at its relaxed geometry. The functional is PBE-GGA.

Computed properties:
- ΔH_f (0 K) (meV/atom) = 1056
- spin magnetization (Bohr magnetons per cell) = 2.23
- space group = No. 47

a = 2.8600 Å, b = 5.0867 Å, c = 5.2433 Å
α = 90.00°, β = 90.00°, γ = 90.00°
Site moments in Bohr magnetons follow the coordinates.
Element x y z (fractional)
K 0.0000 0.5000 0.5000  -0.01
Ru 0.5000 0.5000 0.0000  1.22
Ru 0.0000 0.0000 0.0000  0.94
Cd 0.5000 0.0000 0.5000  -0.01


This record from Alexandria via LeMat-Bulk describes crystalline KCdRu2 at its relaxed geometry. The functional is PBE-GGA.

Computed properties:
- ΔH_f (0 K) (meV/atom) = 895
- spin magnetization (Bohr magnetons per cell) = 0.13
- space group = No. 65

a = 2.8088 Å, b = 2.8088 Å, c = 10.4975 Å
α = 90.00°, β = 90.00°, γ = 117.17°
Site moments in Bohr magnetons follow the coordinates.
Element x y z (fractional)
Cd 0.5000 0.5000 0.2500  0.00
K 0.5000 0.5000 0.7500  0.00
Ru 0.0000 0.0000 0.0223  0.07
Ru 0.0000 0.0000 0.4777  0.07


This record from Alexandria via LeMat-Bulk describes crystalline KCd2Ru at its relaxed geometry. The functional is PBE-GGA.

Computed properties:
- offset from the most stable computed form (eV/atom) = 0.209
- ΔH_f (0 K) (meV/atom) = 566
- spin magnetization (Bohr magnetons per cell) = 0.50
- space group = No. 71

a = 6.8418 Å, b = 6.8418 Å, c = 6.8418 Å
α = 156.16°, β = 129.97°, γ = 56.15°
Site moments in Bohr magnetons follow the coordinates.
Element x y z (fractional)
K 0.7500 0.2500 0.5000  0.00
Ru 0.2500 0.7500 0.5000  0.44
Cd 0.0502 0.0502 0.0000  0.01
Cd 0.4498 0.4498 0.0000  0.01


This record from Alexandria via LeMat-Bulk describes crystalline KCdRu2 at its relaxed geometry. The functional is PBE-GGA.

Computed properties:
- ΔH_f (0 K) (meV/atom) = 436
- spin magnetization (Bohr magnetons per cell) = 0.00
- space group = No. 25

a = 2.8330 Å, b = 3.7210 Å, c = 8.3278 Å
α = 90.00°, β = 90.00°, γ = 90.00°
Element x y z (fractional)
K 0.5000 0.5000 0.7761
Ru 0.0000 0.0000 0.0857
Ru 0.5000 0.5000 0.2081
Cd 0.0000 0.0000 0.4301


This record from Alexandria via LeMat-Bulk describes crystalline K2CdRu at its relaxed geometry. The functional is PBE-GGA.

Computed properties:
- ΔH_f (0 K) (meV/atom) = 849
- spin magnetization (Bohr magnetons per cell) = 2.95
- space group = No. 122

a = 11.9286 Å, b = 11.9286 Å, c = 8.8389 Å
α = 47.56°, β = 47.56°, γ = 90.00°
Site moments in Bohr magnetons follow the coordinates.
Element x y z (fractional)
Ru 0.5000 0.5000 0.0000  1.48
Ru 0.2500 0.7500 0.5000  1.48
K 0.4518 0.1250 0.2500  0.00
K 0.8750 0.7018 0.7500  0.00
K 0.2982 0.6250 0.2500  0.00
K 0.3750 0.5482 0.7500  0.00
Cd 0.7500 0.2500 0.5000  -0.01
Cd 0.0000 0.0000 0.0000  -0.01